1.
# MnAgPd2O | Alexandria via LeMat-Bulk | GGA+U | relaxed
# Final energy in eV per atom: -4.495
# Symmetry: No. 123
data_MnAgPd2O
_chemical_formula_sum 'Mn1 Ag1 Pd2 O1'
_space_group_name_H-M_alt 'P 1'
_space_group_IT_number 1
_cell_length_a 5.064
_cell_length_b 3.833
_cell_length_c 5.064
_cell_angle_alpha 90.00
_cell_angle_beta 90.00
_cell_angle_gamma 90.00
loop_
_space_group_symop_operation_xyz
'x,y,z'
loop_
_atom_site_label
_atom_site_type_symbol
_atom_site_fract_x
_atom_site_fract_y
_atom_site_fract_z
O1 O 0.000 0.500 0.000
Mn1 Mn 0.500 0.500 0.500
Pd1 Pd 0.000 0.000 0.500
Pd2 Pd 0.500 0.000 0.000
Ag1 Ag 0.000 0.000 0.000


2.
# Sr2Co2O5 | Alexandria via LeMat-Bulk | GGA+U | relaxed
# Final energy in eV per atom: -6.042
# Energy above the most stable polymorph in this dataset in meV/atom: 43
# Symmetry: No. 1
data_Sr2Co2O5
_chemical_formula_sum 'Sr2 Co2 O5'
_space_group_name_H-M_alt 'P 1'
_space_group_IT_number 1
_cell_length_a 5.676
_cell_length_b 5.719
_cell_length_c 5.660
_cell_angle_alpha 118.13
_cell_angle_beta 120.26
_cell_angle_gamma 90.09
loop_
_space_group_symop_operation_xyz
'x,y,z'
loop_
_atom_site_label
_atom_site_type_symbol
_atom_site_fract_x
_atom_site_fract_y
_atom_site_fract_z
Sr1 Sr 0.362 0.894 0.613
Sr2 Sr 0.844 0.392 0.613
Co1 Co 0.097 0.083 0.068
Co2 Co 0.640 0.705 0.157
O1 O 0.346 0.405 0.267
O2 O 0.814 0.899 0.612
O3 O 0.689 0.385 0.958
O4 O 0.303 0.799 0.990
O5 O 0.924 0.989 0.231


3.
# NiPO2 | Alexandria via LeMat-Bulk | GGA+U | relaxed
# Final energy in eV per atom: -5.551
# Symmetry: No. 1
data_NiPO2
_chemical_formula_sum 'Ni2 P2 O4'
_space_group_name_H-M_alt 'P 1'
_space_group_IT_number 1
_cell_length_a 6.281
_cell_length_b 4.946
_cell_length_c 4.637
_cell_angle_alpha 119.12
_cell_angle_beta 106.92
_cell_angle_gamma 60.73
loop_
_space_group_symop_operation_xyz
'x,y,z'
loop_
_atom_site_label
_atom_site_type_symbol
_atom_site_fract_x
_atom_site_fract_y
_atom_site_fract_z
Ni1 Ni 0.544 0.998 0.234
Ni2 Ni 0.722 0.355 0.060
O1 O 0.833 0.977 0.594
O2 O 0.103 0.667 0.124
O3 O 0.348 0.027 0.818
O4 O 0.237 0.428 0.548
P1 P 0.978 0.610 0.347
P2 P 0.341 0.372 0.899